LiTaP2: optimized geometry, PBE.

Output
N(E_F) (states/eV per cell): 0.00
Energy of formation (meV/atom): -237.7
Space group: I-42d, No. 122

abc: 6.775 6.775 6.775
angles: 128.30 128.30 76.14
Fractional positions:
Li 0.000 0.000 0.000
Li 0.750 0.250 0.500
Ta 0.250 0.750 0.500
Ta 0.500 0.500 0.000
P 0.152 0.625 0.027
P 0.375 0.402 0.527
P 0.598 0.125 0.973
P 0.875 0.848 0.473

Ba8HgRh3: optimized geometry, PBE.

Output
N(E_F) (states/eV per cell): 7.71
Energy of formation (meV/atom): -208.0
Space group: C2/m, No. 12

abc: 8.994 8.994 8.977
angles: 117.11 117.11 62.82
Fractional positions:
Ba 0.218 0.757 0.743
Ba 0.243 0.243 0.718
Ba 0.243 0.782 0.257
Ba 0.244 0.244 0.255
Ba 0.756 0.756 0.745
Ba 0.757 0.218 0.743
Ba 0.757 0.757 0.282
Ba 0.782 0.243 0.257
Hg 0.500 0.500 0.000
Rh 0.000 0.000 0.000
Rh 0.000 0.500 0.500
Rh 0.500 0.000 0.500